DFT (GGA-PBEsol) results for AlZn2SbH12O12 after structural relaxation.

Its space group is P-3 (147). For the density of states at the Fermi level, the calculation gives 0.00 states/eV/cell. The energy is -152.2 eV per formula unit.

Cell lengths 5.356, 5.356, 9.714 Å; angles 90.00, 90.00, 120.00 degrees
Fractional coordinates of all 28 atoms:
H  0.879  0.530  0.386
H  0.121  0.470  0.614
H  0.314  0.037  0.204
H  0.686  0.963  0.796
H  0.037  0.724  0.796
H  0.724  0.686  0.204
H  0.651  0.121  0.386
H  0.276  0.314  0.796
H  0.349  0.879  0.614
H  0.530  0.651  0.614
H  0.470  0.349  0.386
H  0.963  0.276  0.204
Al  0.000  0.000  0.000
O  0.656  0.867  0.620
O  0.302  0.308  0.897
O  0.133  0.789  0.620
O  0.006  0.698  0.897
O  0.994  0.302  0.103
O  0.867  0.211  0.380
O  0.308  0.006  0.103
O  0.211  0.344  0.620
O  0.789  0.656  0.380
O  0.344  0.133  0.380
O  0.692  0.994  0.897
O  0.698  0.692  0.103
Zn  0.667  0.333  0.989
Zn  0.333  0.667  0.011
Sb  0.000  0.000  0.500